1.
Entry from the Alexandria database: a relaxed structure of Al2P2Se5 (PBE-GGA).

Results
The formation energy from raw total energies comes out at -5.33 kcal/mol of atoms. The calculation puts the total energy at -4.201 eV per atom. For the density of states at the Fermi level, the calculation gives 0.593 states/eV/cell. The value obtained for the total magnetization is 0.00 μB per cell. Its space group is No. 12.

extended XYZ file:
```
9
Lattice="1.853 3.378 0.001 -1.853 3.378 0.001 0.000 3.163 17.319" Properties=species:S:1:pos:R:3 pbc="T T T"
Se 0.000 1.581 8.660
Al 0.000 7.348 13.996
Al 0.000 2.570 3.326
Se 0.000 4.824 2.163
Se 0.000 5.094 15.159
P 0.000 6.102 7.077
P 0.000 3.816 10.245
Se 0.000 3.580 5.542
Se 0.000 6.338 11.779
```



2.
Entry from the Alexandria database: a relaxed structure of Tl4SCl2 (PBE-GGA).

Results
The formation energy from raw total energies comes out at -14.91 kcal/mol of atoms. Its offset from the most stable computed form is 0 meV/atom. The calculation puts the total energy at -3.116 eV per atom. The value obtained for the total magnetization is 0.00 μB per cell. Its space group is No. 63.

extended XYZ file:
```
14
Lattice="-0.080 2.891 3.183 -7.595 -0.284 -2.839 -3.164 -10.569 9.521" Properties=species:S:1:pos:R:3 pbc="T T T"
Tl -4.818 0.682 2.164
Tl -5.293 -6.211 5.508
S -6.807 -1.727 1.397
Cl -8.596 -7.732 9.712
Tl -9.708 -5.371 7.540
Tl -0.040 1.446 1.591
Tl -1.622 -3.839 6.352
Cl -7.341 -3.541 5.937
Tl -1.131 -2.591 2.325
Tl -6.021 -8.644 7.700
Tl -5.547 -1.751 4.357
S -4.033 -6.235 8.468
Cl -3.498 -4.421 3.928
Cl -2.244 -0.230 0.153
```



3.
Entry from the Alexandria database: a relaxed structure of Tb3SmMg6 (PBE-GGA).

Results
The calculation puts the total energy at -2.890 eV per atom. For the density of states at the Fermi level, the calculation gives 19.953 states/eV/cell. As for the formation energy: -0.07 eV per atom. The value obtained for the total magnetization is 0.00 μB per cell. Its space group is No. 11.

extended XYZ file:
```
20
Lattice="-2.106 -1.646 4.570 -8.276 -0.918 -4.145 5.187 -9.980 -1.203" Properties=species:S:1:pos:R:3 pbc="T T T"
Mg 0.856 -8.362 1.984
Sm 0.039 -5.236 2.733
Tb 1.533 -11.410 1.199
Tb -6.729 -1.134 -1.976
Sm -5.234 -7.308 -3.510
Mg -0.729 -2.492 0.300
Tb 0.694 -8.681 -1.273
Mg -8.950 -3.085 -0.635
Mg -3.672 -1.814 -0.812
Mg 3.754 -9.459 -0.142
Mg -1.523 -10.730 0.035
Tb -5.889 -3.863 0.495
Mg -6.052 -4.182 -2.761
Tb -2.237 -7.684 0.802
Mg -5.184 -6.995 -0.307
Mg -2.886 -4.477 1.658
Mg -2.309 -8.067 -2.435
Mg -0.012 -5.549 -0.470
Mg -4.466 -10.053 -1.077
Tb -2.958 -4.860 -1.580
```



4.
Entry from the Alexandria database: a relaxed structure of SiNi2Ir (PBE-GGA).

Results
The formation energy from raw total energies comes out at -7.06 kcal/mol of atoms. The calculation puts the total energy at -6.768 eV per atom. For the density of states at the Fermi level, the calculation gives 5.185 states/eV/cell. The value obtained for the total magnetization is 0.44 μB per cell. Its space group is No. 38.

extended XYZ file:
```
4
Lattice="-3.570 -0.660 -0.776 0.745 -1.978 -1.744 0.192 -4.204 2.691" Properties=species:S:1:pos:R:3 pbc="T T T"
Si 0.327 -2.769 0.850
Ni -1.410 -2.206 -0.520
Ni 0.040 -0.230 0.010
Ir -1.123 -4.728 0.305
```



5.
Entry from the Alexandria database: a relaxed structure of U3Ge3Os2 (PBE-GGA).

Results
The calculation puts the total energy at -8.980 eV per atom. For the density of states at the Fermi level, the calculation gives 61.563 states/eV/cell. As for the formation energy: -0.21 eV per atom. The value obtained for the total magnetization is 21.99 μB per cell. Its space group is No. 62.

extended XYZ file:
```
32
Lattice="-4.860 -1.521 -2.199 -2.535 -2.124 7.073 -5.196 13.451 2.177" Properties=species:S:1:pos:R:3 pbc="T T T"
U -2.264 0.269 3.299
Os -5.161 -0.656 3.118
Os -6.094 6.190 7.439
U -3.759 4.140 3.926
Os -6.497 3.616 -0.388
Os -5.110 0.025 -0.969
U -5.046 9.509 2.471
Ge -10.065 7.076 5.522
U -8.831 5.666 3.125
U -5.308 1.663 1.482
Os -7.481 9.780 8.020
Ge -3.761 6.654 2.259
Ge -3.914 -1.102 0.967
U -6.402 2.647 6.840
U -6.189 7.158 0.211
Os -6.043 6.871 3.352
Ge -6.140 4.660 1.900
U -7.545 0.297 4.580
Ge -8.677 10.908 6.084
Ge -6.605 -2.610 3.860
U -10.327 9.537 3.752
Ge -4.720 1.377 4.647
Ge -6.451 5.146 5.151
Os -6.548 2.935 3.699
Os -7.430 10.462 3.933
U -7.684 11.029 0.837
Ge -8.830 3.152 4.792
Ge -5.986 12.415 3.191
U -7.283 8.143 5.569
U -4.907 -1.223 6.214
Ge -2.526 2.729 1.530
Ge -7.871 8.428 2.404
```



6.
Entry from the Alexandria database: a relaxed structure of Hg2Ge2Bi (PBE-GGA).

Results
Its offset from the most stable computed form is 13 meV/atom. The calculation puts the total energy at -2.484 eV per atom. For the density of states at the Fermi level, the calculation gives 3.892 states/eV/cell. As for the formation energy: 0.26 eV per atom. The value obtained for the total magnetization is 0.00 μB per cell. Its space group is No. 127.

extended XYZ file:
```
10
Lattice="8.571 0.000 0.000 0.000 8.571 0.000 0.000 0.000 3.362" Properties=species:S:1:pos:R:3 pbc="T T T"
Bi 4.285 4.285 0.000
Ge 5.845 1.559 0.000
Hg 7.501 3.215 1.681
Ge 7.012 5.845 0.000
Hg 3.215 1.070 1.681
Ge 1.559 2.726 0.000
Bi 0.000 0.000 0.000
Ge 2.726 7.012 0.000
Hg 1.070 5.356 1.681
Hg 5.356 7.501 1.681
```